[1]
Entry from Alexandria: a geometry-optimized LiMgAg4 structure (PBE).

Lattice parameters (Å, degrees): 3.0203 5.0119 7.6307 97.67 78.59 72.46
Fractional coordinates of all 6 atoms:
Li 0.5000 0.5000 0.5000
Mg 0.0000 0.0000 0.0000
Ag 0.8344 0.5015 0.8297
Ag 0.3298 0.0040 0.3364
Ag 0.1656 0.4985 0.1703
Ag 0.6702 0.9960 0.6636

Values from the calculation:
M_tot = 0.00 μB/f.u.
DFT total energy = -15.824 eV/cell
calculated formation energy = -152 meV/atom
offset from the most stable computed form = 0 meV/atom



[2]
Entry from Alexandria: a geometry-optimized SrRe2B structure (PBE).

Lattice parameters (Å, degrees): 4.7539 4.7539 8.3582 73.48 73.48 90.00
Fractional coordinates of all 8 atoms:
Re 0.4139 0.1250 0.2500
Re 0.3361 0.6250 0.2500
Re 0.3750 0.5861 0.7500
Re 0.8750 0.6639 0.7500
B 0.5000 0.5000 0.0000
B 0.2500 0.7500 0.5000
Sr 0.0000 0.0000 0.0000
Sr 0.7500 0.2500 0.5000

Values from the calculation:
M_tot = 0.00 μB/f.u.
DFT total energy = -58.905 eV/cell
calculated formation energy = 951 meV/atom



[3]
Entry from Alexandria: a geometry-optimized HgAs2Pd8 structure (PBE).

Lattice parameters (Å, degrees): 4.9575 5.7075 7.3260 109.09 105.78 100.37
Fractional coordinates of all 11 atoms:
Hg 0.1121 0.9083 0.9099
As 0.7555 0.5985 0.2261
As 0.4300 0.2860 0.5917
Pd 0.7837 0.2847 0.9067
Pd 0.9355 0.9992 0.5530
Pd 0.2901 0.3605 0.2642
Pd 0.7273 0.9992 0.1477
Pd 0.2792 0.8566 0.2996
Pd 0.8856 0.4613 0.5206
Pd 0.3153 0.4841 0.9104
Pd 0.4857 0.7616 0.6701

Values from the calculation:
M_tot = 0.00 μB/f.u.
DFT total energy = -54.161 eV/cell
calculated formation energy = -274 meV/atom



[4]
Entry from Alexandria: a geometry-optimized Ho5Tm7 structure (PBE).

Lattice parameters (Å, degrees): 5.5397 5.5128 14.4565 100.99 90.00 120.16
Fractional coordinates of all 12 atoms:
Ho 0.1451 0.2902 0.4389
Ho 0.8549 0.7098 0.5611
Ho 0.3931 0.7863 0.1927
Ho 0.6069 0.2137 0.8073
Ho 0.0000 0.0000 0.0000
Tm 0.2282 0.4564 0.6736
Tm 0.7718 0.5436 0.3264
Tm 0.0658 0.1316 0.2132
Tm 0.9342 0.8684 0.7868
Tm 0.6909 0.3819 0.0777
Tm 0.5000 0.0000 0.5000
Tm 0.3091 0.6181 0.9223

Values from the calculation:
M_tot = 0.00 μB/f.u.
DFT total energy = -51.758 eV/cell
calculated formation energy = 203 meV/atom
offset from the most stable computed form = 196 meV/atom



[5]
Entry from Alexandria: a geometry-optimized Ce5Ge2Bi structure (PBE).

Lattice parameters (Å, degrees): 8.0400 8.0400 8.9787 116.60 116.60 90.00
Fractional coordinates of all 16 atoms:
Ce 0.5085 0.7099 0.7185
Ce 0.7901 0.9915 0.2815
Ce 0.0000 0.0000 0.0000
Ce 0.5000 0.5000 0.0000
Ce 0.2099 0.0085 0.7185
Ce 0.7099 0.2099 0.7185
Ce 0.0085 0.5085 0.7185
Ce 0.2901 0.7901 0.2815
Ce 0.9915 0.4915 0.2815
Ce 0.4915 0.2901 0.2815
Ge 0.1512 0.3488 0.0000
Ge 0.6512 0.1512 0.0000
Ge 0.3488 0.8488 0.0000
Ge 0.8488 0.6512 0.0000
Bi 0.7500 0.7500 0.5000
Bi 0.2500 0.2500 0.5000

Values from the calculation:
M_tot = 7.25 μB/f.u.
DFT total energy = -95.314 eV/cell
calculated formation energy = -609 meV/atom
offset from the most stable computed form = 0 meV/atom



[6]
Entry from Alexandria: a geometry-optimized La2RuO structure (PBE).

Lattice parameters (Å, degrees): 5.8582 5.8582 7.2582 66.20 66.20 90.00
Fractional coordinates of all 8 atoms:
Ru 0.0000 0.0000 0.0000
Ru 0.7500 0.2500 0.5000
O 0.5000 0.5000 0.0000
O 0.2500 0.7500 0.5000
La 0.5863 0.1250 0.2500
La 0.1637 0.6250 0.2500
La 0.3750 0.4137 0.7500
La 0.8750 0.8363 0.7500

Values from the calculation:
M_tot = 0.00 μB/f.u.
formation energy without anion corrections = -1.274 eV per atom
DFT total energy = -58.371 eV/cell



Q: Look up the M_tot of the second one.
A: 0.00 μB/f.u.